PBE-GGA KSc2Os, optimized geometry; total magnetization = 0.000 μB/cell; symmetry = Cmmm; energy relative to the lowest polymorph listed for this composition = 0.802 eV/atom
1.0
3.3826 -3.5408 0.0000
3.3826 3.5408 0.0000
0.0000 0.0000 3.5175
K Sc Os
1 2 1
Direct
0.0000 0.0000 0.0000 K
0.0000 0.5000 0.5000 Sc
0.5000 0.0000 0.5000 Sc
0.5000 0.5000 0.0000 Os